No. 1
Here is an optimized crystal structure of LiHBr from Alexandria via LeMat-Bulk. Energies are from PBE.

Cell: 6.3050 6.3618 7.3985 Å, 90.00 64.45 90.00°
Positions (direct):
Li: 0.5002 0.2497 0.4999
Li: 0.0002 0.2503 0.4999
Li: 0.9998 0.7497 0.5001
Li: 0.4998 0.7503 0.5001
H: 0.0595 0.0118 0.9978
H: 0.5595 0.4882 0.9978
H: 0.9405 0.9882 0.0022
H: 0.4405 0.5118 0.0022
Br: 0.3419 0.9998 0.3180
Br: 0.6581 0.0002 0.6820
Br: 0.8419 0.5002 0.3180
Br: 0.1581 0.4998 0.6820

Results
**ΔE to the lowest computed polymorph**: 13 meV/atom

=====

No. 2
Here is an optimized crystal structure of Sr3Cd4Au4 from Alexandria via LeMat-Bulk. Energies are from PBE.

Cell: 4.1483 4.6769 15.5157 Å, 81.23 82.27 90.07°
Positions (direct):
Sr: 0.1455 0.6461 0.7069
Sr: 0.8545 0.3539 0.2931
Sr: 0.0000 0.0000 0.0000
Cd: 0.5943 0.0952 0.8089
Cd: 0.2534 0.2533 0.4920
Cd: 0.7466 0.7467 0.5080
Cd: 0.4058 0.9048 0.1911
Au: 0.5453 0.5453 0.9079
Au: 0.4547 0.4548 0.0921
Au: 0.3142 0.8127 0.3743
Au: 0.6859 0.1873 0.6257

Results
**ΔE to the lowest computed polymorph**: 31 meV/atom

=====

No. 3
Here is an optimized crystal structure of Be2ReAu from Alexandria via LeMat-Bulk. Energies are from PBE.

Cell: 4.8108 4.8108 4.8108 Å, 146.16 120.66 70.09°
Positions (direct):
Re: 0.7500 0.2500 0.5000
Au: 0.2500 0.7500 0.5000
Be: 0.0038 0.0038 0.0000
Be: 0.4962 0.4962 0.0000

Results
**ΔE to the lowest computed polymorph**: 349 meV/atom

=====

No. 4
Here is an optimized crystal structure of CaScCI2 from Alexandria via LeMat-Bulk. Energies are from PBE.

Cell: 5.5611 4.3140 5.5611 Å, 90.00 90.00 90.00°
Site moments in Bohr magnetons follow the coordinates.
Positions (direct):
I: 0.0000 0.0000 0.5000  0.00
I: 0.5000 0.0000 0.0000  0.00
Sc: 0.0000 0.5000 0.0000  0.15
Ca: 0.5000 0.5000 0.5000  0.06
C: 0.0000 0.0000 0.0000  -0.02

Results
**Formation energy without anion corrections**: 27.37 kJ/mol of atoms

=====

No. 5
Here is an optimized crystal structure of LiPaSeO6 from Alexandria via LeMat-Bulk. Energies are from PBE.

Cell: 5.4285 5.4285 9.0989 Å, 90.00 90.00 120.00°
Positions (direct):
Li: 0.0000 0.0000 0.0000
Li: 0.0000 0.0000 0.5000
Pa: 0.3333 0.6667 0.2500
Pa: 0.6667 0.3333 0.7500
Se: 0.6667 0.3333 0.2500
Se: 0.3333 0.6667 0.7500
O: 0.6629 0.6109 0.1371
O: 0.9480 0.3371 0.1371
O: 0.3371 0.9480 0.6371
O: 0.0520 0.6629 0.8629
O: 0.3891 0.3371 0.3629
O: 0.9480 0.6109 0.3629
O: 0.6109 0.9480 0.8629
O: 0.6629 0.0520 0.3629
O: 0.0520 0.3891 0.6371
O: 0.3891 0.0520 0.1371
O: 0.6109 0.6629 0.6371
O: 0.3371 0.3891 0.8629

Results
**Formation energy without anion corrections**: -176.13 kJ/mol of atoms

=====

No. 6
Here is an optimized crystal structure of CsTlTeIr2 from Alexandria via LeMat-Bulk. Energies are from PBE.

Cell: 5.1767 5.1767 6.1662 Å, 90.00 90.00 90.00°
Site moments in Bohr magnetons follow the coordinates.
Positions (direct):
Cs: 0.0000 0.0000 0.0000  -0.01
Tl: 0.0000 0.0000 0.5000  0.00
Ir: 0.0000 0.5000 0.0000  0.74
Ir: 0.5000 0.0000 0.0000  0.74
Te: 0.5000 0.5000 0.5000  0.11

Results
**ΔE to the lowest computed polymorph**: 4 meV/atom
**Formation energy without anion corrections**: 212.52 kJ/mol of atoms

=====

No. 7
Here is an optimized crystal structure of Tb12YHo6 from Alexandria via LeMat-Bulk. Energies are from PBE.

Cell: 8.5218 8.5218 8.5218 Å, 88.53 88.53 88.53°
Positions (direct):
Tb: 0.7757 0.5415 0.4342
Tb: 0.4342 0.7757 0.5415
Tb: 0.5415 0.4342 0.7757
Tb: 0.2243 0.4585 0.5658
Tb: 0.5658 0.2243 0.4585
Tb: 0.4585 0.5658 0.2243
Tb: 0.0124 0.2031 0.3582
Tb: 0.7969 0.6418 0.9876
Tb: 0.6418 0.9876 0.7969
Tb: 0.9876 0.7969 0.6418
Tb: 0.2031 0.3582 0.0124
Tb: 0.3582 0.0124 0.2031
Y: 0.0000 0.0000 0.0000
Ho: 0.7412 0.9055 0.3068
Ho: 0.6932 0.2588 0.0945
Ho: 0.0945 0.6932 0.2588
Ho: 0.2588 0.0945 0.6932
Ho: 0.3068 0.7412 0.9055
Ho: 0.9055 0.3068 0.7412

Results
**ΔE to the lowest computed polymorph**: 0 meV/atom

=====

No. 8
Here is an optimized crystal structure of Ba3Nd2ErTe6 from Alexandria via LeMat-Bulk. Energies are from PBE.

Cell: 8.0234 8.0234 8.2971 Å, 99.30 99.30 119.90°
Positions (direct):
Ba: 0.1705 0.8295 0.5000
Ba: 0.8295 0.1705 0.5000
Ba: 0.5000 0.5000 0.5000
Nd: 0.3347 0.6653 0.0000
Nd: 0.6653 0.3347 0.0000
Er: 0.0000 0.0000 0.0000
Te: 0.9274 0.6034 0.7810
Te: 0.7510 0.7510 0.2228
Te: 0.0726 0.3966 0.2190
Te: 0.6034 0.9274 0.7810
Te: 0.2490 0.2490 0.7772
Te: 0.3966 0.0726 0.2190

Results
**Formation energy without anion corrections**: -149.45 kJ/mol of atoms

=====

No. 9
Here is an optimized crystal structure of Rb2TlSbO6 from Alexandria via LeMat-Bulk. Energies are from PBE.

Cell: 6.0988 6.0988 6.0989 Å, 60.00 60.00 60.00°
Site moments in Bohr magnetons follow the coordinates.
Positions (direct):
Rb: 0.5662 0.5661 0.3015  0.00
Rb: 0.0662 0.0662 0.8015  0.00
Tl: 0.8162 0.8162 0.5514  -0.03
Sb: 0.3162 0.3162 0.0515  -0.04
O: 0.5486 0.0839 0.2840  0.29
O: 0.0839 0.0834 0.2841  0.29
O: 0.0834 0.5486 0.2840  0.29
O: 0.5485 0.5488 0.8190  0.29
O: 0.5489 0.0836 0.8191  0.29
O: 0.0836 0.5486 0.8191  0.29

Results
**Formation energy without anion corrections**: -92.77 kJ/mol of atoms

=====

No. 10
Here is an optimized crystal structure of TmPu2Pd from Alexandria via LeMat-Bulk. Energies are from PBE.

Cell: 3.5084 3.5084 10.0888 Å, 79.99 79.99 60.00°
Site moments in Bohr magnetons follow the coordinates.
Positions (direct):
Tm: 0.5000 0.5000 0.5000  0.23
Pd: 0.0000 0.0000 0.0000  -0.05
Pu: 0.2630 0.2630 0.2110  5.44
Pu: 0.7370 0.7370 0.7890  5.44

=====

No. 11
Here is an optimized crystal structure of LiThAl2Zn2 from Alexandria via LeMat-Bulk. Energies are from PBE.

Cell: 4.3845 4.3845 6.9054 Å, 90.00 90.00 120.00°
Positions (direct):
Li: 0.0000 0.0000 0.5000
Th: 0.0000 0.0000 0.0000
Al: 0.3333 0.6667 0.6994
Al: 0.6667 0.3333 0.3006
Zn: 0.3333 0.6667 0.2838
Zn: 0.6667 0.3333 0.7162

=====

No. 12
Here is an optimized crystal structure of Tb15NdTm4 from Alexandria via LeMat-Bulk. Energies are from PBE.

Cell: 5.0232 5.0232 25.1078 Å, 90.00 90.00 90.00°
Positions (direct):
Tb: 0.5000 0.5000 0.0000
Tb: 0.5000 0.5000 0.2020
Tb: 0.5000 0.5000 0.4005
Tb: 0.5000 0.5000 0.5995
Tb: 0.5000 0.5000 0.7980
Tb: 0.5000 0.0000 0.1020
Tb: 0.5000 0.0000 0.3010
Tb: 0.5000 0.0000 0.5000
Tb: 0.5000 0.0000 0.6990
Tb: 0.5000 0.0000 0.8980
Tb: 0.0000 0.5000 0.1020
Tb: 0.0000 0.5000 0.3010
Tb: 0.0000 0.5000 0.5000
Tb: 0.0000 0.5000 0.6990
Tb: 0.0000 0.5000 0.8980
Nd: 0.0000 0.0000 0.0000
Tm: 0.0000 0.0000 0.2015
Tm: 0.0000 0.0000 0.4005
Tm: 0.0000 0.0000 0.5995
Tm: 0.0000 0.0000 0.7985

=====

We obtain final energy values of -3.32; -2.52; -5.45; -3.85; -6.79; -2.61; -4.56; -4.78; -4.78; -9.55; -3.53; -4.59 eV/atom for the records listed above, in that order.
We obtain D(E_F) values of 0.00; 5.23; 2.08; 4.54; 0.00; 6.79; 33.50; 5.53; 5.60; 18.14; 2.67; 26.93 states/eV/cell for the records listed above, in that order.